# KYMoF2

A geometry-optimized KYMoF2 structure (PBE+U, Alexandria via LeMat-Bulk).

Values from the calculation:
Electronic total energy (eV per atom): -4.256

a = 4.7138 Å, b = 4.7138 Å, c = 5.8784 Å
α = 90.00°, β = 90.00°, γ = 90.00°
Last column: nearest neighbours and their distance in Å.
Space group P4/mmm (No. 123)
Inequivalent atoms, fractional coordinates:
K: 0.0000 0.0000 0.0000  4 F 2.36
Y: 0.5000 0.5000 0.5000  4 Mo 3.33
Mo: 0.0000 0.0000 0.5000  2 K 2.94
F: 0.0000 0.5000 0.0000  2 K 2.36